The following is a DFT calculation (PBE-GGA) of Cu2Pd5Au2 after structural relaxation.

Computed properties:
Calculated formation energy ... -0.07 eV per atom
DOS(E_F) ... 8.1 states/eV/f.u.
Total energy ... -4.60 eV per atom

Unit cell a=6.1963 b=6.1963 c=6.2372 alpha=107.45 beta=107.45 gamma=37.46
With the nearest neighbours (Å) after each atom.
Fractional positions:
Cu: 0.2220 0.2220 0.3382  7 Pd 2.67-2.79, 2 Cu 2.76, 3 Au 2.81-2.83
Cu: 0.7780 0.7780 0.6618  7 Pd 2.67-2.79, 2 Cu 2.76, 3 Au 2.81-2.83
Pd: 0.0000 0.0000 0.0000  4 Au 2.78, 2 Cu 2.79, 6 Pd 2.84-2.86
Pd: 0.1148 0.1148 0.6575  3 Cu 2.67-2.76, 6 Pd 2.73-2.88, 3 Au 2.80-2.83
Pd: 0.4375 0.4375 0.6586  3 Cu 2.68-2.74, 7 Pd 2.73-2.88, 2 Au 2.77-2.83
Pd: 0.5625 0.5625 0.3414  3 Cu 2.68-2.74, 7 Pd 2.73-2.88, 2 Au 2.77-2.83
Pd: 0.8852 0.8852 0.3425  3 Cu 2.67-2.76, 6 Pd 2.73-2.88, 3 Au 2.80-2.83
Au: 0.3353 0.3353 0.0031  7 Pd 2.77-2.83, 3 Cu 2.81-2.83, 2 Au 2.81
Au: 0.6647 0.6647 0.9969  7 Pd 2.77-2.83, 3 Cu 2.81-2.83, 2 Au 2.81

The following is a DFT calculation (PBE-GGA) of Cu3Pd8Au8 after structural relaxation.

Computed properties:
Calculated formation energy ... -0.08 eV per atom
DOS(E_F) ... 8.2 states/eV/f.u.
Total energy ... -4.29 eV per atom

Unit cell a=6.2372 b=6.3702 c=8.5801 alpha=107.28 beta=94.90 gamma=106.99
With the nearest neighbours (Å) after each atom.
Fractional positions:
Cu: 0.0000 0.0000 0.0000  4 Pd 2.75-2.77, 6 Au 2.79-2.86, 2 Cu 2.85
Cu: 0.1601 0.2647 0.7924  5 Pd 2.76-2.86, 6 Au 2.77-2.87, 1 Cu 2.85
Cu: 0.8399 0.7353 0.2076  5 Pd 2.76-2.86, 6 Au 2.77-2.87, 1 Cu 2.85
Pd: 0.2036 0.6870 0.0521  5 Au 2.76-2.87, 3 Cu 2.77-2.86, 4 Pd 2.78-2.86
Pd: 0.3168 0.5244 0.5808  4 Pd 2.78-2.91, 7 Au 2.81-2.91, 1 Cu 2.85
Pd: 0.3608 0.9535 0.8463  2 Cu 2.75-2.76, 5 Au 2.77-2.88, 5 Pd 2.83-2.91
Pd: 0.4791 0.7876 0.3645  1 Cu 2.77, 5 Pd 2.78-2.92, 6 Au 2.78-2.88
Pd: 0.5209 0.2124 0.6355  1 Cu 2.77, 5 Pd 2.78-2.92, 6 Au 2.78-2.88
Pd: 0.6392 0.0465 0.1537  2 Cu 2.75-2.76, 5 Au 2.77-2.88, 5 Pd 2.83-2.91
Pd: 0.6832 0.4756 0.4192  4 Pd 2.78-2.91, 7 Au 2.81-2.91, 1 Cu 2.85
Pd: 0.7964 0.3130 0.9479  5 Au 2.76-2.87, 3 Cu 2.77-2.86, 4 Pd 2.78-2.86
Au: 0.0491 0.4244 0.2588  6 Pd 2.76-2.89, 2 Cu 2.78-2.86, 4 Au 2.85-2.91
Au: 0.1083 0.8443 0.5274  5 Pd 2.78-2.86, 5 Au 2.83-2.91, 2 Cu 2.86-2.87
Au: 0.2613 0.0983 0.3092  6 Pd 2.78-2.91, 2 Cu 2.79-2.81, 4 Au 2.86-2.88
Au: 0.4206 0.3660 0.1004  3 Cu 2.77-2.82, 6 Pd 2.77-2.88, 3 Au 2.81-2.87
Au: 0.5794 0.6340 0.8996  3 Cu 2.77-2.82, 6 Pd 2.77-2.88, 3 Au 2.81-2.87
Au: 0.7387 0.9017 0.6908  6 Pd 2.78-2.91, 2 Cu 2.79-2.81, 4 Au 2.86-2.88
Au: 0.8917 0.1557 0.4726  5 Pd 2.78-2.86, 5 Au 2.83-2.91, 2 Cu 2.86-2.87
Au: 0.9509 0.5756 0.7412  6 Pd 2.76-2.89, 2 Cu 2.78-2.86, 4 Au 2.85-2.91

The following is a DFT calculation (PBE-GGA) of Cu4Pd4Au3 after structural relaxation.

Computed properties:
Calculated formation energy ... -0.08 eV per atom
DOS(E_F) ... 4.5 states/eV/f.u.
Relative energy among the computed polymorphs ... 0.000 eV/atom
Total energy ... -4.36 eV per atom

Unit cell a=2.8755 b=3.6429 c=15.9416 alpha=83.48 beta=85.00 gamma=89.99
With the nearest neighbours (Å) after each atom.
Fractional positions:
Cu: 0.0934 0.0924 0.3147  4 Pd 2.68-2.69, 5 Au 2.72-2.92, 2 Cu 2.88
Cu: 0.2703 0.2708 0.9588  5 Pd 2.59-2.66, 6 Cu 2.66-2.88, 1 Au 2.88
Cu: 0.7297 0.7292 0.0412  5 Pd 2.59-2.66, 6 Cu 2.66-2.88, 1 Au 2.88
Cu: 0.9066 0.9076 0.6853  4 Pd 2.68-2.69, 5 Au 2.72-2.92, 2 Cu 2.88
Pd: 0.1888 0.1884 0.1228  5 Cu 2.59-2.66, 4 Au 2.81-2.82, 2 Pd 2.88
Pd: 0.4502 0.4503 0.6000  4 Cu 2.68-2.69, 5 Au 2.78-2.81, 2 Pd 2.88
Pd: 0.5498 0.5497 0.4000  4 Cu 2.68-2.69, 5 Au 2.78-2.81, 2 Pd 2.88
Pd: 0.8112 0.8116 0.8772  5 Cu 2.59-2.66, 4 Au 2.81-2.82, 2 Pd 2.88
Au: 0.0000 0.0000 0.5000  8 Pd 2.80-2.81, 2 Au 2.88, 2 Cu 2.92
Au: 0.3611 0.3619 0.7762  5 Cu 2.72-2.88, 5 Pd 2.78-2.82, 2 Au 2.88
Au: 0.6389 0.6381 0.2238  5 Cu 2.72-2.88, 5 Pd 2.78-2.82, 2 Au 2.88

The following is a DFT calculation (PBE-GGA) of Cu3Pd4Au after structural relaxation.

Computed properties:
Calculated formation energy ... -0.08 eV per atom
DOS(E_F) ... 6.4 states/eV/f.u.
Total energy ... -4.63 eV per atom

Unit cell a=8.9499 b=5.6091 c=4.6596 alpha=90.00 beta=90.00 gamma=90.00
With the nearest neighbours (Å) after each atom.
Fractional positions:
Cu: 0.0000 0.0000 0.0000  8 Pd 2.70-2.71, 2 Cu 2.77, 2 Au 2.80
Cu: 0.2500 0.0000 0.3504  8 Pd 2.68-2.72, 4 Cu 2.77-2.80
Cu: 0.2500 0.5000 0.3569  8 Pd 2.73-2.75, 2 Au 2.79, 2 Cu 2.80
Cu: 0.5000 0.0000 0.0000  8 Pd 2.70-2.71, 2 Cu 2.77, 2 Au 2.80
Cu: 0.7500 0.0000 0.6496  8 Pd 2.68-2.72, 4 Cu 2.77-2.80
Cu: 0.7500 0.5000 0.6431  8 Pd 2.73-2.75, 2 Au 2.79, 2 Cu 2.80
Pd: 0.0000 0.2416 0.5000  6 Cu 2.70-2.75, 4 Pd 2.71-2.90, 2 Au 2.74
Pd: 0.0000 0.7584 0.5000  6 Cu 2.70-2.75, 4 Pd 2.71-2.90, 2 Au 2.74
Pd: 0.2500 0.2435 0.8553  6 Cu 2.68-2.74, 4 Pd 2.73-2.88, 2 Au 2.74
Pd: 0.2500 0.7565 0.8553  6 Cu 2.68-2.74, 4 Pd 2.73-2.88, 2 Au 2.74
Pd: 0.5000 0.2416 0.5000  6 Cu 2.70-2.75, 4 Pd 2.71-2.90, 2 Au 2.74
Pd: 0.5000 0.7584 0.5000  6 Cu 2.70-2.75, 4 Pd 2.71-2.90, 2 Au 2.74
Pd: 0.7500 0.2435 0.1447  6 Cu 2.68-2.74, 4 Pd 2.73-2.88, 2 Au 2.74
Pd: 0.7500 0.7565 0.1447  6 Cu 2.68-2.74, 4 Pd 2.73-2.88, 2 Au 2.74
Au: 0.0000 0.5000 0.0000  8 Pd 2.74, 4 Cu 2.79-2.80
Au: 0.5000 0.5000 0.0000  8 Pd 2.74, 4 Cu 2.79-2.80

What is the formula in the first record? Cu2Pd5Au2

Which of these has the highest calculated formation energy? Cu2Pd5Au2

Number 3 is which compound? Cu4Pd4Au3